1.
The following is a PBE calculation of a geometry-optimized PmGa6 structure, from the Alexandria database.

Geometry as POSCAR:
```
PmGa6
1.0
6.023 0.000 0.000
-2.008 5.679 0.000
-2.008 -2.839 4.918
Pm Ga
1 6
Direct
0.000 0.000 0.000
0.250 0.750 0.500
0.500 0.750 0.250
0.250 0.500 0.750
0.750 0.250 0.500
0.500 0.250 0.750
0.750 0.500 0.250
```

## Properties
As for the density: 5.56 g/cm³. As for the density of states at the Fermi level: 2.49 states/eV/cell. The calculation puts the energy relative to the lowest polymorph listed for this composition at 273.6 kJ/mol of formula units. The total energy comes out at -3.21 eV per atom. The value obtained for the calculated volume is 168.2 Å³ per cell. The formation energy comes out at 0.44 eV/f.u.

=====

2.
The following is a PBE calculation of a geometry-optimized Pm3Ga4 structure, from the Alexandria database.

Geometry as POSCAR:
```
Pm3Ga4
1.0
4.222 0.000 0.000
-2.111 5.553 0.000
0.000 0.000 14.328
Pm Ga
6 8
Direct
0.707 0.415 0.100
0.295 0.590 0.900
0.707 0.415 0.400
0.295 0.590 0.600
0.008 0.015 0.250
0.995 0.990 0.750
0.283 0.564 0.250
0.720 0.440 0.750
0.420 0.841 0.101
0.001 0.002 0.000
0.420 0.841 0.400
0.582 0.164 0.900
0.001 0.002 0.500
0.582 0.164 0.601
```

## Properties
As for the density: 7.06 g/cm³. As for the density of states at the Fermi level: 11.72 states/eV/cell. The calculation puts the energy relative to the lowest polymorph listed for this composition at 38.8 kJ/mol of formula units. The total energy comes out at -4.35 eV per atom. The value obtained for the calculated volume is 335.9 Å³ per cell. The formation energy comes out at -4.08 eV/f.u.

=====

3.
The following is a PBE calculation of a geometry-optimized PmGa2 structure, from the Alexandria database.

Geometry as POSCAR:
```
PmGa2
1.0
3.427 0.000 0.000
0.000 3.427 0.000
-1.714 -1.714 5.625
Ga Pm
2 1
Direct
0.689 0.689 0.378
0.311 0.311 0.622
0.000 0.000 0.000
```

## Properties
As for the density: 7.15 g/cm³. As for the density of states at the Fermi level: 2.05 states/eV/cell. The calculation puts the energy relative to the lowest polymorph listed for this composition at 72.1 kJ/mol of formula units. The total energy comes out at -3.99 eV per atom. The value obtained for the calculated volume is 66.1 Å³ per cell. The formation energy comes out at -1.18 eV/f.u.

=====

4.
The following is a PBE calculation of a geometry-optimized PmGa3 structure, from the Alexandria database.

Geometry as POSCAR:
```
PmGa3
1.0
5.917 0.000 2.403
2.470 5.377 2.403
0.254 0.163 7.860
Pm Ga
3 9
Direct
0.785 0.785 0.644
0.215 0.215 0.356
0.000 0.000 0.000
0.276 0.699 0.327
0.699 0.276 0.327
0.699 0.699 0.327
0.000 0.500 0.000
0.500 0.500 0.000
0.500 0.000 0.000
0.301 0.724 0.673
0.724 0.301 0.673
0.301 0.301 0.673
```

## Properties
As for the density: 7.19 g/cm³. As for the density of states at the Fermi level: 5.16 states/eV/cell. The calculation puts the energy relative to the lowest polymorph listed for this composition at 7.0 kJ/mol of formula units. The total energy comes out at -4.02 eV per atom. The value obtained for the calculated volume is 245.4 Å³ per cell. The formation energy comes out at -2.23 eV/f.u.

=====

5.
The following is a PBE calculation of a geometry-optimized PmGa3 structure, from the Alexandria database.

Geometry as POSCAR:
```
PmGa3
1.0
4.949 0.000 0.000
2.475 4.286 0.000
2.475 1.429 4.041
Ga Pm
3 1
Direct
0.000 0.000 0.000
0.750 0.750 0.750
0.250 0.250 0.250
0.500 0.500 0.500
```

## Properties
As for the density: 6.86 g/cm³. As for the density of states at the Fermi level: 1.65 states/eV/cell. The calculation puts the energy relative to the lowest polymorph listed for this composition at 112.3 kJ/mol of formula units. The total energy comes out at -3.74 eV per atom. The value obtained for the calculated volume is 85.7 Å³ per cell. The formation energy comes out at -1.14 eV/f.u.

=====

6.
The following is a PBE calculation of a geometry-optimized Pm3Ga structure, from the Alexandria database.

Geometry as POSCAR:
```
Pm3Ga
1.0
-0.053 4.691 -0.694
-3.924 0.347 2.640
4.797 -1.881 3.118
Ga Pm
1 3
Direct
0.000 0.000 0.000
0.750 0.250 0.500
0.250 0.750 0.500
0.500 0.500 0.000
```

## Properties
As for the density: 7.45 g/cm³. As for the density of states at the Fermi level: 4.81 states/eV/cell. The calculation puts the energy relative to the lowest polymorph listed for this composition at 18.3 kJ/mol of formula units. The total energy comes out at -4.53 eV per atom. The value obtained for the calculated volume is 112.5 Å³ per cell. The formation energy comes out at -0.86 eV/f.u.

=====

7.
The following is a PBE calculation of a geometry-optimized Pm3Ga4 structure, from the Alexandria database.

Geometry as POSCAR:
```
Pm3Ga4
1.0
4.208 0.000 0.000
0.000 4.367 0.000
-2.104 -2.184 9.347
Pm Ga
3 4
Direct
0.500 0.000 0.000
0.184 0.184 0.368
0.816 0.816 0.632
0.066 0.566 0.132
0.934 0.434 0.868
0.643 0.643 0.286
0.357 0.357 0.714
```

## Properties
As for the density: 6.90 g/cm³. As for the density of states at the Fermi level: 5.26 states/eV/cell. The calculation puts the energy relative to the lowest polymorph listed for this composition at 0.0 kJ/mol of formula units. The total energy comes out at -4.41 eV per atom. The value obtained for the calculated volume is 171.8 Å³ per cell. The formation energy comes out at -4.48 eV/f.u.

=====

8.
The following is a PBE calculation of a geometry-optimized PmGa5 structure, from the Alexandria database.

Geometry as POSCAR:
```
PmGa5
1.0
3.825 0.000 1.692
1.241 5.241 2.363
-0.312 -0.035 5.874
Pm Ga
1 5
Direct
0.500 0.000 0.000
0.837 0.873 0.453
0.500 0.500 0.500
0.163 0.127 0.547
0.163 0.547 0.127
0.837 0.453 0.873
```

## Properties
As for the density: 6.79 g/cm³. As for the density of states at the Fermi level: 2.74 states/eV/cell. The calculation puts the energy relative to the lowest polymorph listed for this composition at 0.0 kJ/mol of formula units. The total energy comes out at -3.66 eV per atom. The value obtained for the calculated volume is 120.8 Å³ per cell. The formation energy comes out at -2.08 eV/f.u.

=====

9.
The following is a PBE calculation of a geometry-optimized Pm3Ga structure, from the Alexandria database.

Geometry as POSCAR:
```
Pm3Ga
1.0
6.254 0.000 0.000
3.127 8.733 0.000
3.127 0.000 8.733
Pm Ga
12 4
Direct
0.355 0.959 0.802
0.116 0.041 0.198
0.843 0.802 0.041
0.686 0.198 0.959
0.553 0.327 0.597
0.477 0.673 0.403
0.850 0.597 0.673
0.120 0.403 0.327
0.956 0.957 0.612
0.525 0.043 0.388
0.432 0.612 0.043
0.087 0.388 0.957
0.069 0.249 0.650
0.968 0.751 0.350
0.281 0.650 0.751
0.682 0.350 0.249
```

## Properties
As for the density: 7.03 g/cm³. As for the density of states at the Fermi level: 24.21 states/eV/cell. The calculation puts the energy relative to the lowest polymorph listed for this composition at 2.8 kJ/mol of formula units. The total energy comes out at -4.57 eV per atom. The value obtained for the calculated volume is 477.0 Å³ per cell. The formation energy comes out at -1.02 eV/f.u.

=====

10.
The following is a PBE calculation of a geometry-optimized PmGa3 structure, from the Alexandria database.

Geometry as POSCAR:
```
PmGa3
1.0
-1.514 -3.993 -0.431
1.170 -0.879 4.037
-3.952 3.837 -0.303
Ga Pm
3 1
Direct
0.250 0.667 0.500
0.500 0.417 0.000
0.750 0.167 0.500
0.000 0.917 0.000
```

## Properties
As for the density: 6.93 g/cm³. As for the density of states at the Fermi level: 2.78 states/eV/cell. The calculation puts the energy relative to the lowest polymorph listed for this composition at 66.6 kJ/mol of formula units. The total energy comes out at -3.86 eV per atom. The value obtained for the calculated volume is 84.9 Å³ per cell. The formation energy comes out at -1.61 eV/f.u.

=====

11.
The following is a PBE calculation of a geometry-optimized Pm4Ga structure, from the Alexandria database.

Geometry as POSCAR:
```
Pm4Ga
1.0
-5.534 1.160 -0.235
-0.823 -4.580 -3.220
-0.850 -3.114 4.648
Ga Pm
1 4
Direct
0.500 0.500 0.500
0.000 0.000 0.000
0.500 0.000 0.500
0.000 0.500 0.500
0.500 0.500 0.000
```

## Properties
As for the density: 5.95 g/cm³. As for the density of states at the Fermi level: 8.74 states/eV/cell. The calculation puts the energy relative to the lowest polymorph listed for this composition at 151.6 kJ/mol of formula units. The total energy comes out at -4.29 eV per atom. The value obtained for the calculated volume is 181.2 Å³ per cell. The formation energy comes out at 0.56 eV/f.u.

=====

12.
The following is a PBE calculation of a geometry-optimized Pm3Ga structure, from the Alexandria database.

Geometry as POSCAR:
```
Pm3Ga
1.0
-2.327 -2.100 1.770
1.994 -2.887 -0.804
4.798 1.171 7.698
Pm Ga
3 1
Direct
0.000 0.000 0.500
0.500 0.500 0.209
0.500 0.500 0.791
0.000 0.000 0.000
```

## Properties
As for the density: 7.07 g/cm³. As for the density of states at the Fermi level: 3.84 states/eV/cell. The calculation puts the energy relative to the lowest polymorph listed for this composition at 2.5 kJ/mol of formula units. The total energy comes out at -4.57 eV per atom. The value obtained for the calculated volume is 118.5 Å³ per cell. The formation energy comes out at -1.02 eV/f.u.